[1]
First-principles (GGA-PBEsol) data for ZrTc2Ir after structural relaxation, as listed in Alexandria via LeMat-Bulk.

Computed properties:
DOS at the Fermi energy ... 1.160 states/eV/atom
Polymorph energy (0 for the lowest one) ... 142 meV/atom

a = 5.3641 Å, b = 8.9099 Å, c = 2.7314 Å
α = 90.00°, β = 108.97°, γ = 90.00°
With the nearest neighbours (Å) after each atom.
Space group C2/m (No. 12)
Inequivalent atoms, fractional coordinates:
Zr1 0.0000 0.0000 0.0000 (multiplicity 2)  2 Ir 2.68, 4 Tc 2.73, 2 Zr 2.73
Tc1 0.2500 0.2500 0.5000 (multiplicity 4)  4 Tc 2.68-2.73, 2 Zr 2.73, 2 Ir 2.73
Ir1 0.0000 0.5000 0.0000 (multiplicity 2)  2 Zr 2.68, 4 Tc 2.73, 2 Ir 2.73

---

[2]
First-principles (GGA-PBEsol) data for CuSnAs3 after structural relaxation, as listed in Alexandria via LeMat-Bulk.

Computed properties:
DOS at the Fermi energy ... 1.030 states/eV/atom
Total DFT energy (no corrections) ... -3.43 eV/atom

a = 5.1530 Å, b = 5.1530 Å, c = 5.1530 Å
α = 90.00°, β = 90.00°, γ = 90.00°
With the nearest neighbours (Å) after each atom.
Space group Pm-3m (No. 221)
Inequivalent atoms, fractional coordinates:
Cu1 0.0000 0.0000 0.0000 (multiplicity 1)  12 As 3.64
Sn1 0.5000 0.5000 0.5000 (multiplicity 1)  6 As 2.58
As1 0.0000 0.5000 0.5000 (multiplicity 3)  2 Sn 2.58